Li2CoSiO4 | the Alexandria database | PBE+U | optimized geometry; relative energy among the computed polymorphs = 26 meV/atom; space-group type = I-42m (121); D(E_F) = 0.00 states/eV per cell; total magnetic moment = 0.38 μB per atom
1.0
-2.187 2.187 4.393
2.187 -2.187 4.393
2.187 2.187 -4.393
Li Co Si O
2 1 1 4
Cartesian
2.187 0.000 2.197
0.000 2.187 2.197
0.000 0.000 0.000
0.000 0.000 4.393
1.240 1.240 -0.977
0.947 -0.947 5.371
0.947 0.947 3.416
-0.947 0.947 5.371